<one>
Below is an optimized crystal structure of LaScCu, with properties calculated at the PBE-GGA level.

The value obtained for the density of states at the Fermi level is 3.343 states/eV/f.u.

abc: 4.7092 4.7092 3.8506
angles: 90.00 90.00 120.00
Space group P-6m2 (No. 187)
One atom of each set of equivalent atoms:
La 0.0000 0.0000 0.0000
Sc 0.6667 0.3333 0.5000
Cu 0.3333 0.6667 0.5000

---

<two>
Below is an optimized crystal structure of LaScCu, with properties calculated at the PBE-GGA level.

The value obtained for the density of states at the Fermi level is 3.170 states/eV/f.u.

abc: 4.625 4.625 6.886
angles: 90.00 90.00 90.00
Space group P4/nmm (No. 129, origin choice 2)
One atom of each set of equivalent atoms:
La 0.250 0.250 0.114
Sc 0.250 0.750 0.500
Cu 0.250 0.250 0.705

---

<three>
Below is an optimized crystal structure of LaScCu, with properties calculated at the PBE-GGA level.

The value obtained for the density of states at the Fermi level is 3.767 states/eV/f.u.

abc: 6.758 6.758 6.758
angles: 90.00 90.00 90.00
Space group F-43m (No. 216)
One atom of each set of equivalent atoms:
La 0.000 0.000 0.000
Sc 0.250 0.250 0.250
Cu 0.250 0.250 0.750

---

What should be chosen as the least stable of them? Choose <three>.

---

<one>
Below is an optimized crystal structure of LaScCu, with properties calculated at the PBE-GGA level.

The value obtained for the density of states at the Fermi level is 4.694 states/eV/f.u.

abc: 6.841 6.841 6.841
angles: 90.00 90.00 90.00
Space group F-43m (No. 216)
One atom of each set of equivalent atoms:
La 0.000 0.000 0.000
Sc 0.000 0.000 0.500
Cu 0.250 0.250 0.250

---

<two>
Below is an optimized crystal structure of LaScCu, with properties calculated at the PBE-GGA level.

The value obtained for the density of states at the Fermi level is 3.665 states/eV/f.u.

abc: 3.5602 3.5602 6.9069
angles: 90.00 90.00 120.00
Space group P3m1 (No. 156)
One atom of each set of equivalent atoms:
La 0.0000 0.0000 0.0000
Sc 0.6667 0.3333 0.4200
Cu 0.3333 0.6667 0.6734

---

What should be chosen as the least stable of them? Choose <one>.

---

<one>
Below is an optimized crystal structure of LaScCu3, with properties calculated at the PBE-GGA level.

The value obtained for the density of states at the Fermi level is 4.385 states/eV/f.u.

abc: 3.662 25.074 4.289
angles: 90.00 90.00 90.00
Space group Cmcm (No. 63)
One atom of each set of equivalent atoms:
La 0.000 0.077 0.250
Sc 0.000 0.210 0.750
Cu 0.000 0.318 0.750
Cu 0.000 0.372 0.250
Cu 0.000 0.474 0.250

---

<two>
Below is an optimized crystal structure of LaScCu3, with properties calculated at the PBE-GGA level.

The value obtained for the density of states at the Fermi level is 5.171 states/eV/f.u.

abc: 5.034 5.034 5.034
angles: 90.00 90.00 90.00
Space group Pm-3m (No. 221)
One atom of each set of equivalent atoms:
La 0.000 0.000 0.000
Sc 0.500 0.500 0.500
Cu 0.000 0.000 0.500

---

<three>
Below is an optimized crystal structure of LaScCu3, with properties calculated at the PBE-GGA level.

The value obtained for the density of states at the Fermi level is 4.770 states/eV/f.u.

abc: 4.840 4.840 4.840
angles: 90.00 90.00 90.00
Space group Pm-3m (No. 221)
One atom of each set of equivalent atoms:
La 0.000 0.000 0.000
Sc 0.500 0.500 0.500
Cu 0.000 0.500 0.500

---

What should be chosen as the least stable of them? Choose <two>.